1.
Here is a geometry-optimized BaCuBi structure from Alexandria. Energies are from PBE-GGA.

Its crystal system is hexagonal. For the formation enthalpy at 0 K, the calculation gives 0.812 eV/atom.

The structure belongs to space group P6_3/mmc (No. 194); the cell edges are 5.1415, 5.1415 and 14.1494 Å and the angles 90.00°, 90.00° and 120.00°. The inequivalent atoms are Ba at (0.0000, 0.0000, 0.2500), Cu at (0.3333, 0.6667, 0.2500) and Bi at (0.0000, 0.0000, 0.0000).

2.
Here is a geometry-optimized TlGeTe2 structure from Alexandria. Energies are from PBE-GGA.

Its crystal system is cubic. For the raw formation energy, the calculation gives 0.61 eV/f.u. For the energy above the most stable polymorph in this dataset, the calculation gives 294 meV per atom.

The structure belongs to space group Fm-3m (No. 225); the cell edges are 7.690, 7.690 and 7.690 Å and the angles 90.00°, 90.00° and 90.00°. The inequivalent atoms are Tl at (0.000, 0.000, 0.000), Ge at (0.000, 0.000, 0.500) and Te at (0.250, 0.250, 0.250).

3.
Here is a geometry-optimized SrVRhS2 structure from Alexandria. Energies are from PBE-GGA.

Its crystal system is tetragonal. For the raw formation energy, the calculation gives 1.17 eV/f.u.

The structure belongs to space group P4/mmm (No. 123); the cell edges are 4.459, 4.459 and 6.400 Å and the angles 90.00°, 90.00° and 90.00°. The inequivalent atoms are Sr at (0.000, 0.000, 0.000), V at (0.000, 0.000, 0.500), Rh at (0.500, 0.500, 0.000) and S at (0.000, 0.500, 0.500).

4.
Here is a geometry-optimized NaNiSbTe2 structure from Alexandria. Energies are from PBE-GGA.

Its crystal system is tetragonal. For the raw formation energy, the calculation gives -0.23 eV/f.u. For the energy above the most stable polymorph in this dataset, the calculation gives 0 meV per atom.

The structure belongs to space group P4/mmm (No. 123); the cell edges are 5.428, 5.428 and 4.759 Å and the angles 90.00°, 90.00° and 90.00°. The inequivalent atoms are Na at (0.000, 0.000, 0.000), Ni at (0.500, 0.500, 0.500), Sb at (0.500, 0.500, 0.000) and Te at (0.000, 0.500, 0.500).

5.
Here is a geometry-optimized SrIn10Rh3 structure from Alexandria. Energies are from PBE-GGA.

Its crystal system is cubic. For the formation enthalpy at 0 K, the calculation gives -0.226 eV/atom.

The structure belongs to space group Fm-3m (No. 225); the cell edges are 13.989, 13.989 and 13.989 Å and the angles 90.00°, 90.00° and 90.00°. The inequivalent atoms are Sr at (0.250, 0.250, 0.250), In at (0.000, 0.170, 0.170), In at (0.111, 0.111, 0.389) and Rh at (0.000, 0.000, 0.265).

6.
Here is a geometry-optimized ZnCrSb2 structure from Alexandria. Energies are from PBE-GGA.

Its crystal system is monoclinic. For the raw formation energy, the calculation gives 0.62 eV/f.u.

The structure belongs to space group Pm (No. 6); the cell edges are 3.865, 4.147 and 5.464 Å and the angles 90.00°, 110.67° and 90.00°. The inequivalent atoms are Zn at (0.000, 0.000, 0.000), Cr at (0.163, 0.500, 0.331), Sb at (0.447, 0.500, 0.895) and Sb at (0.726, 0.000, 0.455).

7.
Here is a geometry-optimized Th2AgS2N2 structure from Alexandria. Energies are from PBE-GGA.

Its crystal system is trigonal. For the raw formation energy, the calculation gives -9.03 eV/f.u.

The structure belongs to space group P-3m1 (No. 164); the cell edges are 4.0758, 4.0758 and 11.1304 Å and the angles 90.00°, 90.00° and 120.00°. The inequivalent atoms are Th at (0.3333, 0.6667, 0.1354), Ag at (0.0000, 0.0000, 0.5000), S at (0.0000, 0.0000, 0.2895) and N at (0.3333, 0.6667, 0.9234).

8.
Here is a geometry-optimized Na3IF structure from Alexandria. Energies are from PBE-GGA.

Its crystal system is cubic. For the raw formation energy, the calculation gives -4.05 eV/f.u. For the energy above the most stable polymorph in this dataset, the calculation gives 558 meV per atom.

The structure belongs to space group Pm-3m (No. 221); the cell edges are 6.009, 6.009 and 6.009 Å and the angles 90.00°, 90.00° and 90.00°. The inequivalent atoms are Na at (0.000, 0.000, 0.500), I at (0.000, 0.000, 0.000) and F at (0.500, 0.500, 0.500).

Number 1: DOS at the Fermi energy 3.3 states/eV/f.u., size of the total moment 0.00 Bohr magnetons per cell. Number 2: DOS at the Fermi energy 4.8 states/eV/f.u., size of the total moment 0.00 Bohr magnetons per cell. Number 3: DOS at the Fermi energy 4.3 states/eV/f.u., size of the total moment 1.31 Bohr magnetons per cell. Number 4: DOS at the Fermi energy 3.4 states/eV/f.u., size of the total moment 0.00 Bohr magnetons per cell. Number 5: DOS at the Fermi energy 8.9 states/eV/f.u., size of the total moment 0.00 Bohr magnetons per cell. Number 6: DOS at the Fermi energy 2.3 states/eV/f.u., size of the total moment 2.96 Bohr magnetons per cell. Number 7: DOS at the Fermi energy 5.8 states/eV/f.u., size of the total moment 0.01 Bohr magnetons per cell. Number 8: DOS at the Fermi energy 1.4 states/eV/f.u., size of the total moment 0.00 Bohr magnetons per cell.